# BaPmSb2 PBE optimized geometry
data_BaPmSb2
_chemical_formula_sum 'Ba3 Pm3 Sb6'
_symmetry_space_group_name_H-M 'R 3 m'
_symmetry_Int_Tables_number 160
_symmetry_space_group_name_Hall 'R 3 -2"'
_cell_length_a 4.5678
_cell_length_b 4.5678
_cell_length_c 25.1523
_cell_angle_alpha 90.00
_cell_angle_beta 90.00
_cell_angle_gamma 120.00
loop_
_atom_site_label
_atom_site_fract_x
_atom_site_fract_y
_atom_site_fract_z
_atom_site_occupancy
Ba1 0.0000 0.0000 0.0000 1
Pm1 0.0000 0.0000 0.8285 1
Sb1 0.0000 0.0000 0.2362 1
Sb2 0.0000 0.0000 0.4247 1
# Distance to the lowest polymorph of the same formula, eV per formula unit: 0.169
# D(E_F), states/eV/cell: 7.9
# Total DFT energy (no corrections), eV/atom: -4.65
# E_form (uncorrected), eV per atom: -0.921
# ρ, Mg/m³: 5.76